Entry 1:
Here is an optimized crystal structure of DyTm4Tl7 from Alexandria via LeMat-Bulk. Energies are from PBE.

M_tot (Bohr magnetons per cell): 0.0
SG: C2/m (12)
E_form (eV/atom): -0.074

a b c (Å): 5.6502 9.7767 7.3036
angles (deg): 80.83 67.24 73.20
Fractional coordinates of all 12 atoms:
Tl (0.3653, 0.5475, 0.7219)
Tl (0.9185, 0.3294, 0.8337)
Tl (0.7871, 0.8945, 0.5314)
Tl (0.0815, 0.6706, 0.1663)
Tl (0.6347, 0.4525, 0.2781)
Tl (0.2129, 0.1055, 0.4686)
Tl (0.5000, 0.0000, 0.0000)
Dy (0.0000, 0.0000, 0.0000)
Tm (0.4171, 0.7835, 0.3823)
Tm (0.7171, 0.6739, 0.8919)
Tm (0.5829, 0.2165, 0.6177)
Tm (0.2829, 0.3261, 0.1081)

Entry 2:
Here is an optimized crystal structure of Dy4Tm5Tl from Alexandria via LeMat-Bulk. Energies are from PBE.

M_tot (Bohr magnetons per cell): 0.0
Energy relative to the lowest polymorph listed for this composition (eV/f.u.): 0.000
SG: P4/mmm (123)
E_form (eV/atom): -0.052

a b c (Å): 3.5270 3.5270 24.1246
angles (deg): 90.00 90.00 90.00
Fractional coordinates of all 10 atoms:
Dy (0.0000, 0.0000, 0.3968)
Dy (0.0000, 0.0000, 0.6032)
Dy (0.0000, 0.0000, 0.8098)
Dy (0.0000, 0.0000, 0.1902)
Tm (0.5000, 0.5000, 0.7059)
Tm (0.5000, 0.5000, 0.9117)
Tm (0.5000, 0.5000, 0.2941)
Tm (0.5000, 0.5000, 0.0883)
Tm (0.5000, 0.5000, 0.5000)
Tl (0.0000, 0.0000, 0.0000)

Entry 3:
Here is an optimized crystal structure of DyTm3Tl from Alexandria via LeMat-Bulk. Energies are from PBE.

M_tot (Bohr magnetons per cell): 0.2
Energy relative to the lowest polymorph listed for this composition (eV/f.u.): 0.000
SG: Cmcm (63)
E_form (eV/atom): -0.110

a b c (Å): 4.7649 4.7418 12.8143
angles (deg): 90.00 79.29 90.00
Fractional coordinates of all 10 atoms:
Tm (0.2772, 0.7500, 0.0940)
Tm (0.5752, 0.2500, 0.4980)
Tm (0.7728, 0.2500, 0.1028)
Tm (0.3712, 0.2500, 0.9060)
Tm (0.0732, 0.7500, 0.5020)
Tm (0.8756, 0.7500, 0.8972)
Dy (0.4733, 0.7500, 0.7018)
Dy (0.1751, 0.2500, 0.2982)
Tl (0.6730, 0.7500, 0.3024)
Tl (0.9754, 0.2500, 0.6976)

Entry 4:
Here is an optimized crystal structure of Dy2TmTl from Alexandria via LeMat-Bulk. Energies are from PBE.

M_tot (Bohr magnetons per cell): 0.0
Energy relative to the lowest polymorph listed for this composition (eV/f.u.): 0.279
SG: R-3m (166)
E_form (eV/atom): -0.103

a b c (Å): 3.5418 3.5418 11.2093
angles (deg): 80.91 80.91 60.00
Fractional coordinates of all 4 atoms:
Tm (0.5000, 0.5000, 0.5000)
Dy (0.2527, 0.2527, 0.2420)
Dy (0.7473, 0.7473, 0.7580)
Tl (0.0000, 0.0000, 0.0000)

Entry 5:
Here is an optimized crystal structure of Dy3TmTl from Alexandria via LeMat-Bulk. Energies are from PBE.

M_tot (Bohr magnetons per cell): 0.0
Energy relative to the lowest polymorph listed for this composition (eV/f.u.): 0.394
SG: C2/c (15)
E_form (eV/atom): -0.042

a b c (Å): 6.5155 9.7850 9.7850
angles (deg): 84.10 79.64 79.64
Fractional coordinates of all 20 atoms:
Tm (0.4596, 0.4625, 0.3296)
Tm (0.9596, 0.3296, 0.4625)
Tm (0.0404, 0.6704, 0.5375)
Tm (0.5404, 0.5375, 0.6704)
Dy (0.3581, 0.3780, 0.9992)
Dy (0.3575, 0.1271, 0.2692)
Dy (0.5202, 0.7853, 0.4059)
Dy (0.6425, 0.8729, 0.7308)
Dy (0.8575, 0.2692, 0.1271)
Dy (0.1425, 0.7308, 0.8729)
Dy (0.4798, 0.2147, 0.5941)
Dy (0.8581, 0.9992, 0.3780)
Dy (0.6419, 0.6220, 0.0008)
Dy (0.9798, 0.5941, 0.2147)
Dy (0.0202, 0.4059, 0.7853)
Dy (0.1419, 0.0008, 0.6220)
Tl (0.2500, 0.8364, 0.1636)
Tl (0.2500, 0.0844, 0.9156)
Tl (0.7500, 0.9156, 0.0844)
Tl (0.7500, 0.1636, 0.8364)

Entry 6:
Here is an optimized crystal structure of DyTm2Tl from Alexandria via LeMat-Bulk. Energies are from PBE.

M_tot (Bohr magnetons per cell): 0.0
Energy relative to the lowest polymorph listed for this composition (eV/f.u.): 0.025
SG: Cmcm (63)
E_form (eV/atom): -0.160

a b c (Å): 3.6243 6.6368 10.0573
angles (deg): 90.00 90.00 105.86
Fractional coordinates of all 8 atoms:
Tm (0.3698, 0.7398, 0.5305)
Tm (0.6302, 0.2602, 0.0305)
Tm (0.6302, 0.2602, 0.4695)
Tm (0.3698, 0.7398, 0.9695)
Dy (0.9616, 0.9227, 0.2500)
Dy (0.0384, 0.0773, 0.7500)
Tl (0.2439, 0.4876, 0.2500)
Tl (0.7561, 0.5124, 0.7500)

- What is the formula in the second record?
  Dy4Tm5Tl

- Look up the E_form of the third one.
  -0.110 eV/atom

Copy entry 6 word for word.
Here is an optimized crystal structure of DyTm2Tl from Alexandria via LeMat-Bulk. Energies are from PBE.

M_tot (Bohr magnetons per cell): 0.0
Energy relative to the lowest polymorph listed for this composition (eV/f.u.): 0.025
SG: Cmcm (63)
E_form (eV/atom): -0.160

a b c (Å): 3.6243 6.6368 10.0573
angles (deg): 90.00 90.00 105.86
Fractional coordinates of all 8 atoms:
Tm (0.3698, 0.7398, 0.5305)
Tm (0.6302, 0.2602, 0.0305)
Tm (0.6302, 0.2602, 0.4695)
Tm (0.3698, 0.7398, 0.9695)
Dy (0.9616, 0.9227, 0.2500)
Dy (0.0384, 0.0773, 0.7500)
Tl (0.2439, 0.4876, 0.2500)
Tl (0.7561, 0.5124, 0.7500)